Record 1
A plane-wave DFT calculation with PBE was carried out for Zr2AlTcC after structural relaxation.

Cell lengths 4.575, 4.575, 4.002 Å; angles 90.00, 90.00, 90.00 degrees
Atoms (fractional coordinates):
Zr 0.500 0.000 0.000
Zr 0.000 0.500 0.000
Al 0.500 0.500 0.500
Tc 0.000 0.000 0.500
C 0.000 0.000 0.000

Computed properties:
Its formation energy is -0.40 eV/atom. As for the density of states at the Fermi level: 3.5 states/eV per cell. The final energy is -8.48 eV per atom.

=====

Record 2
A plane-wave DFT calculation with PBE was carried out for Cs3ReBr after structural relaxation.

Cell lengths 6.857, 6.857, 6.857 Å; angles 90.00, 90.00, 90.00 degrees
Each line ends with the local moment (μB).
Atoms (fractional coordinates):
Re 0.500 0.500 0.500  3.42
Cs 0.000 0.500 0.000  0.00
Br 0.000 0.000 0.000  0.00
Cs 0.500 0.000 0.000  0.00
Cs 0.000 0.000 0.500  0.00

Computed properties:
As for the density of states at the Fermi level: 8.1 states/eV per cell. The final energy is -2.69 eV per atom.

=====

Record 3
A plane-wave DFT calculation with PBE was carried out for PuSbPd after structural relaxation.

Cell lengths 3.918, 3.918, 5.346 Å; angles 111.49, 111.49, 90.00 degrees
Each line ends with the local moment (μB).
Atoms (fractional coordinates):
Pd 0.276 0.276 0.551  -0.06
Pu 0.622 0.622 0.244  5.28
Sb 0.952 0.952 0.905  -0.02

Computed properties:
As for the density of states at the Fermi level: 10.1 states/eV per cell. The final energy is -8.27 eV per atom.

=====

Record 4
A plane-wave DFT calculation with PBE was carried out for TiAlGa2P after structural relaxation.

Cell lengths 4.669, 5.024, 4.669 Å; angles 90.00, 90.00, 90.00 degrees
Atoms (fractional coordinates):
Ti 0.000 0.500 0.000
Al 0.000 0.000 0.000
P 0.500 0.500 0.500
Ga 0.500 0.000 0.000
Ga 0.000 0.000 0.500

Computed properties:
Its formation energy is 0.74 eV/atom. As for the density of states at the Fermi level: 4.7 states/eV per cell. The final energy is -3.88 eV per atom.

=====

Record 5
A plane-wave DFT calculation with PBE was carried out for Pr8ZnCu2 after structural relaxation.

Cell lengths 5.261, 7.096, 9.578 Å; angles 107.37, 105.94, 90.00 degrees
Atoms (fractional coordinates):
Pr 0.409 0.533 0.818
Pr 0.030 0.779 0.060
Cu 0.821 0.274 0.642
Pr 0.804 0.666 0.608
Cu 0.179 0.726 0.358
Pr 0.970 0.221 0.940
Pr 0.196 0.334 0.392
Pr 0.327 0.008 0.654
Pr 0.591 0.467 0.182
Zn 0.500 0.000 0.000
Pr 0.673 0.992 0.346

Computed properties:
Its formation energy is -0.08 eV/atom. As for the density of states at the Fermi level: 11.0 states/eV per cell. The final energy is -4.42 eV per atom.

=====

Record 6
A plane-wave DFT calculation with PBE was carried out for ZnCd12Hg2 after structural relaxation.

Cell lengths 6.037, 6.037, 20.354 Å; angles 90.00, 90.00, 90.00 degrees
Atoms (fractional coordinates):
Cd 0.825 0.325 0.567
Cd 0.250 0.750 0.088
Cd 0.500 0.500 0.669
Hg 0.000 0.500 0.241
Cd 0.000 0.000 0.806
Cd 0.175 0.325 0.433
Cd 0.325 0.175 0.567
Cd 0.000 0.000 0.331
Cd 0.500 0.500 0.331
Cd 0.750 0.250 0.912
Cd 0.250 0.250 0.088
Cd 0.750 0.250 0.088
Cd 0.750 0.750 0.912
Cd 0.500 0.500 0.194
Cd 0.675 0.825 0.567
Cd 0.500 0.500 0.806
Cd 0.750 0.750 0.088
Cd 0.675 0.175 0.433
Hg 0.000 0.500 0.759
Cd 0.000 0.000 0.669
Hg 0.500 0.000 0.759
Cd 0.000 0.000 0.194
Cd 0.175 0.675 0.567
Cd 0.250 0.750 0.912
Cd 0.325 0.825 0.433
Cd 0.250 0.250 0.912
Cd 0.825 0.675 0.433
Zn 0.000 0.500 0.000
Zn 0.500 0.000 0.000
Hg 0.500 0.000 0.241

Computed properties:
Its formation energy is 0.07 eV/atom. As for the density of states at the Fermi level: 13.3 states/eV per cell. The final energy is -0.78 eV per atom.

=====

Record 7
A plane-wave DFT calculation with PBE was carried out for Li2DyHg2 after structural relaxation.

Cell lengths 3.958, 3.958, 7.498 Å; angles 105.30, 105.30, 90.00 degrees
Atoms (fractional coordinates):
Dy 0.000 0.000 0.000
Hg 0.611 0.611 0.221
Li 0.750 0.250 0.500
Hg 0.389 0.389 0.779
Li 0.250 0.750 0.500

Computed properties:
Its formation energy is -0.34 eV/atom. As for the density of states at the Fermi level: 2.3 states/eV per cell. The final energy is -2.15 eV per atom.

=====

Record 8
A plane-wave DFT calculation with PBE was carried out for NaIn4PbS8 after structural relaxation.

Cell lengths 7.882, 7.882, 7.913 Å; angles 60.13, 60.13, 60.00 degrees
Atoms (fractional coordinates):
In 0.502 0.000 0.499
S 0.243 0.792 0.722
Pb 0.383 0.383 0.852
In 0.614 0.614 0.159
S 0.792 0.243 0.722
S 0.240 0.240 0.280
S 0.754 0.754 0.269
S 0.754 0.754 0.738
In 0.000 0.502 0.499
S 0.754 0.223 0.269
S 0.243 0.243 0.722
In 0.000 0.000 0.499
S 0.223 0.754 0.269
Na 0.999 0.999 0.002

Computed properties:
As for the density of states at the Fermi level: 2.3 states/eV per cell. The final energy is -4.03 eV per atom.

=====

Record 9
A plane-wave DFT calculation with PBE was carried out for SiS after structural relaxation.

Cell lengths 7.903, 7.903, 5.333 Å; angles 90.00, 90.00, 90.00 degrees
Atoms (fractional coordinates):
Si 0.951 0.701 0.500
Si 0.549 0.799 0.000
S 0.555 0.801 0.500
S 0.699 0.055 0.000
S 0.199 0.555 0.500
Si 0.451 0.201 0.000
S 0.945 0.699 0.000
Si 0.299 0.951 0.500
S 0.801 0.445 0.500
S 0.445 0.199 0.500
Si 0.201 0.549 0.000
Si 0.701 0.049 0.500
S 0.055 0.301 0.000
Si 0.799 0.451 0.000
S 0.301 0.945 0.000
Si 0.049 0.299 0.500

Computed properties:
The final energy is -4.79 eV per atom.

=====

Record 10
A plane-wave DFT calculation with PBE was carried out for Na2SiRu2 after structural relaxation.

Cell lengths 3.240, 3.240, 8.022 Å; angles 78.35, 78.35, 90.00 degrees
Each line ends with the local moment (μB).
Atoms (fractional coordinates):
Na 0.750 0.250 0.500  0.00
Ru 0.583 0.583 0.835  0.69
Si 0.000 0.000 0.000  -0.03
Na 0.250 0.750 0.500  0.00
Ru 0.417 0.417 0.165  0.69

Computed properties:
As for the density of states at the Fermi level: 4.4 states/eV per cell. The final energy is -4.55 eV per atom.

=====

Record 11
A plane-wave DFT calculation with PBE was carried out for YSc2Sb2 after structural relaxation.

Cell lengths 7.585, 7.585, 5.868 Å; angles 111.09, 111.09, 98.90 degrees
Each line ends with the local moment (μB).
Atoms (fractional coordinates):
Sb 0.625 0.875 0.750  -0.01
Sb 0.375 0.125 0.250  -0.01
Sb 0.178 0.322 0.750  -0.01
Y 0.900 0.600 0.750  0.04
Sb 0.822 0.678 0.250  -0.01
Sc 0.772 0.080 0.471  0.23
Sc 0.580 0.272 0.971  0.23
Sc 0.420 0.728 0.029  0.23
Sc 0.228 0.920 0.529  0.23
Y 0.100 0.400 0.250  0.04

Computed properties:
As for the density of states at the Fermi level: 12.1 states/eV per cell. The final energy is -6.09 eV per atom.

=====

Record 12
A plane-wave DFT calculation with PBE was carried out for PmHF6 after structural relaxation.

Cell lengths 4.672, 4.469, 7.919 Å; angles 55.69, 53.81, 90.00 degrees
Each line ends with the local moment (μB).
Atoms (fractional coordinates):
F 0.213 0.713 0.787  0.47
F 0.787 0.287 0.213  0.47
F 0.755 0.001 0.999  0.01
H 0.000 0.000 0.000  0.00
F 0.245 0.999 0.001  0.01
Pm 0.500 0.500 0.000  -0.03
F 0.000 0.217 0.500  0.47
F 0.000 0.783 0.500  0.47

Computed properties:
The final energy is -4.75 eV per atom.

=====

Record 13
A plane-wave DFT calculation with PBE was carried out for DyTmPd2 after structural relaxation.

Cell lengths 3.720, 4.515, 5.571 Å; angles 90.00, 109.57, 90.00 degrees
Atoms (fractional coordinates):
Dy 0.721 0.000 0.981
Tm 0.446 0.500 0.430
Pd 0.995 0.000 0.530
Pd 0.169 0.500 0.877

Computed properties:
Its formation energy is -0.94 eV/atom. As for the density of states at the Fermi level: 3.3 states/eV per cell. The final energy is -5.80 eV per atom.

=====

Record 14
A plane-wave DFT calculation with PBE was carried out for EuLuPdPb after structural relaxation.

Cell lengths 5.249, 5.249, 5.249 Å; angles 60.00, 60.00, 60.00 degrees
Each line ends with the local moment (μB).
Atoms (fractional coordinates):
Pb 0.500 0.500 0.500  -0.02
Eu 0.250 0.250 0.250  6.77
Lu 0.750 0.750 0.750  0.00
Pd 0.000 0.000 0.000  -0.02

Computed properties:
Its formation energy is -0.53 eV/atom. As for the density of states at the Fermi level: 11.7 states/eV per cell. The final energy is -6.46 eV per atom.

=====

Record 15
A plane-wave DFT calculation with PBE was carried out for Ti7Al6Au16 after structural relaxation.

Cell lengths 9.025, 9.025, 9.025 Å; angles 60.00, 60.00, 60.00 degrees
Each line ends with the local moment (μB).
Atoms (fractional coordinates):
Au 0.372 0.372 0.372  0.00
Ti 0.000 0.000 0.000  0.18
Au 0.385 0.872 0.872  0.00
Ti 0.500 0.000 0.500  -0.01
Al 0.253 0.747 0.253  0.00
Au 0.372 0.885 0.372  0.00
Ti 0.000 0.500 0.500  -0.01
Au 0.615 0.128 0.128  0.00
Au 0.628 0.115 0.628  0.00
Al 0.747 0.747 0.253  0.00
Au 0.128 0.128 0.128  0.00
Ti 0.500 0.500 0.000  -0.01
Au 0.885 0.372 0.372  0.00
Au 0.128 0.128 0.615  0.00
Al 0.747 0.253 0.253  0.00
Au 0.872 0.872 0.385  0.00
Al 0.253 0.747 0.747  0.00
Al 0.747 0.253 0.747  0.00
Ti 0.000 0.500 0.000  -0.01
Ti 0.000 0.000 0.500  -0.01
Au 0.628 0.628 0.115  0.00
Al 0.253 0.253 0.747  0.00
Ti 0.500 0.000 0.000  -0.01
Au 0.372 0.372 0.885  0.00
Au 0.872 0.385 0.872  0.00
Au 0.628 0.628 0.628  0.00
Au 0.115 0.628 0.628  0.00
Au 0.872 0.872 0.872  0.00
Au 0.128 0.615 0.128  0.00

Computed properties:
Its formation energy is -0.36 eV/atom. As for the density of states at the Fermi level: 16.1 states/eV per cell. The final energy is -4.85 eV per atom.

=====

Record 16
A plane-wave DFT calculation with PBE was carried out for Li2Nd2Tl after structural relaxation.

Cell lengths 6.704, 6.428, 7.772 Å; angles 107.87, 90.00, 121.43 degrees
Atoms (fractional coordinates):
Nd 0.385 0.612 0.845
Nd 0.615 0.388 0.155
Li 0.201 0.140 0.441
Li 0.799 0.860 0.559
Tl 0.247 0.000 0.750
Tl 0.753 0.000 0.250
Nd 0.226 0.612 0.345
Li 0.939 0.140 0.941
Li 0.061 0.860 0.059
Nd 0.774 0.388 0.655

Computed properties:
Its formation energy is -0.12 eV/atom. As for the density of states at the Fermi level: 9.9 states/eV per cell. The final energy is -3.27 eV per atom.

=====

Record 17
A plane-wave DFT calculation with PBE was carried out for V2ReW5 after structural relaxation.

Cell lengths 3.133, 6.261, 12.527 Å; angles 90.00, 90.00, 90.00 degrees
Atoms (fractional coordinates):
W 0.500 0.251 0.875
W 0.500 0.749 0.125
W 0.000 0.000 0.250
W 0.000 0.000 0.750
V 0.500 0.251 0.124
Re 0.000 0.500 0.000
W 0.500 0.249 0.375
W 0.500 0.751 0.625
Re 0.000 0.000 0.500
W 0.000 0.500 0.250
W 0.000 0.500 0.500
V 0.500 0.249 0.624
V 0.500 0.751 0.376
W 0.000 0.000 0.000
W 0.000 0.500 0.750
V 0.500 0.749 0.876

Computed properties:
Its formation energy is -0.11 eV/atom. As for the density of states at the Fermi level: 8.4 states/eV per cell. The final energy is -12.05 eV per atom.

=====

Record 18
A plane-wave DFT calculation with PBE was carried out for AcSb4P after structural relaxation.

Cell lengths 6.233, 6.233, 6.233 Å; angles 60.00, 60.00, 60.00 degrees
Atoms (fractional coordinates):
Sb 0.628 0.628 0.117
P 0.000 0.000 0.000
Sb 0.628 0.117 0.628
Ac 0.250 0.250 0.250
Sb 0.628 0.628 0.628
Sb 0.117 0.628 0.628

Computed properties:
As for the density of states at the Fermi level: 3.4 states/eV per cell. The final energy is -4.32 eV per atom.

=====

Record 19
A plane-wave DFT calculation with PBE was carried out for VCu2P after structural relaxation.

Cell lengths 6.783, 6.783, 5.343 Å; angles 50.60, 50.60, 90.00 degrees
Atoms (fractional coordinates):
Cu 0.375 0.416 0.750
Cu 0.166 0.625 0.250
P 0.250 0.750 0.500
P 0.500 0.500 0.000
Cu 0.584 0.125 0.250
V 0.000 0.000 0.000
V 0.750 0.250 0.500
Cu 0.875 0.834 0.750

Computed properties:
Its formation energy is 0.11 eV/atom. As for the density of states at the Fermi level: 4.2 states/eV per cell. The final energy is -5.57 eV per atom.

=====

Record 20
A plane-wave DFT calculation with PBE was carried out for LiTl2Hg4 after structural relaxation.

Cell lengths 5.229, 3.632, 13.753 Å; angles 97.19, 90.00, 136.04 degrees
Atoms (fractional coordinates):
Tl 0.290 0.581 0.093
Hg 0.123 0.246 0.751
Hg 0.550 0.100 0.614
Hg 0.877 0.754 0.249
Hg 0.450 0.900 0.386
Li 0.000 0.000 0.500
Tl 0.710 0.419 0.907

Computed properties:
Its formation energy is -0.10 eV/atom. As for the density of states at the Fermi level: 2.8 states/eV per cell. The final energy is -1.23 eV per atom.